# TmHfTc2

A geometry-optimized TmHfTc2 structure (PBE, Alexandria).

- calculated formation energy (eV per atom) = -0.178
- space-group type = No. 123
- density of states at the Fermi level (states/eV/atom) = 1.479

Geometry as POSCAR:
```
TmHfTc2
1.0
-1.9917 2.6447 0.0167
-1.4382 -1.0655 -2.7854
-4.5027 -3.4138 3.6308
Tc Hf Tm
2 1 1
Direct
0.0000 0.0000 0.2321
0.0000 0.0000 0.7679
0.5000 0.5000 0.0000
0.5000 0.5000 0.5000
```